# HfSc2Bi (GGA-PBE, optimized geometry)
# Total magnetic moment, μB per cell: 0.00
# Formation enthalpy at 0 K, eV/f.u.: -0.93
# Calculated total energy, eV/atom: -6.857
data_HfSc2Bi
_chemical_formula_sum 'Hf1 Sc2 Bi1'
_symmetry_space_group_name_H-M 'P 4/m m m'
_symmetry_Int_Tables_number 123
_symmetry_space_group_name_Hall '-P 4 2'
_cell_length_a 3.768
_cell_length_b 3.768
_cell_length_c 6.689
_cell_angle_alpha 90.00
_cell_angle_beta 90.00
_cell_angle_gamma 90.00
loop_
_atom_site_label
_atom_site_type_symbol
_atom_site_fract_x
_atom_site_fract_y
_atom_site_fract_z
Hf1 Hf 0.000 0.000 0.000
Sc1 Sc 0.500 0.500 0.253
Bi1 Bi 0.000 0.000 0.500

=====

# HfScBi2 (GGA-PBE, optimized geometry)
# Total magnetic moment, μB per cell: 0.00
# Energy above the most stable polymorph in this dataset, meV per atom: 505
# Formation enthalpy at 0 K, eV/f.u.: 0.85
# Calculated total energy, eV/atom: -5.798
data_HfScBi2
_chemical_formula_sum 'Hf4 Sc4 Bi8'
_symmetry_space_group_name_H-M 'I -4 2 d'
_symmetry_Int_Tables_number 122
_symmetry_space_group_name_Hall 'I -4 2bw'
_cell_length_a 6.718
_cell_length_b 6.718
_cell_length_c 13.254
_cell_angle_alpha 90.00
_cell_angle_beta 90.00
_cell_angle_gamma 90.00
loop_
_atom_site_label
_atom_site_type_symbol
_atom_site_fract_x
_atom_site_fract_y
_atom_site_fract_z
Hf1 Hf 0.000 0.000 0.000
Sc1 Sc 0.000 0.000 0.500
Bi1 Bi 0.244 0.250 0.125

=====

# HfScBi3 (GGA-PBE, optimized geometry)
# Total magnetic moment, μB per cell: 0.00
# Energy above the most stable polymorph in this dataset, meV per atom: 0
# Formation enthalpy at 0 K, eV/f.u.: 2.07
# Calculated total energy, eV/atom: -5.172
data_HfScBi3
_chemical_formula_sum 'Hf1 Sc1 Bi3'
_symmetry_space_group_name_H-M 'P m -3 m'
_symmetry_Int_Tables_number 221
_symmetry_space_group_name_Hall '-P 4 2 3'
_cell_length_a 5.604
_cell_length_b 5.604
_cell_length_c 5.604
_cell_angle_alpha 90.00
_cell_angle_beta 90.00
_cell_angle_gamma 90.00
loop_
_atom_site_label
_atom_site_type_symbol
_atom_site_fract_x
_atom_site_fract_y
_atom_site_fract_z
Hf1 Hf 0.000 0.000 0.000
Sc1 Sc 0.500 0.500 0.500
Bi1 Bi 0.000 0.000 0.500

=====

# HfScBi2 (GGA-PBE, optimized geometry)
# Total magnetic moment, μB per cell: 0.00
# Energy above the most stable polymorph in this dataset, meV per atom: 0
# Formation enthalpy at 0 K, eV/f.u.: -1.17
# Calculated total energy, eV/atom: -6.303
data_HfScBi2
_chemical_formula_sum 'Hf3 Sc3 Bi6'
_symmetry_space_group_name_H-M 'R 3 m'
_symmetry_Int_Tables_number 160
_symmetry_space_group_name_Hall 'R 3 -2"'
_cell_length_a 4.1447
_cell_length_b 4.1447
_cell_length_c 21.8127
_cell_angle_alpha 90.00
_cell_angle_beta 90.00
_cell_angle_gamma 120.00
loop_
_atom_site_label
_atom_site_type_symbol
_atom_site_fract_x
_atom_site_fract_y
_atom_site_fract_z
Hf1 Hf 0.0000 0.0000 0.0000
Sc1 Sc 0.0000 0.0000 0.8298
Bi1 Bi 0.0000 0.0000 0.2484
Bi2 Bi 0.0000 0.0000 0.4171